Compound: Si2BiHSe
Source: Alexandria via LeMat-Bulk
Functional: PBE
Structure: relaxed

Cell lengths 5.098, 5.571, 5.098 Å; angles 90.00, 90.00, 90.00 degrees
Each line ends with the local moment (μB).
Element x y z (fractional)
Se 0.000 0.000 0.000  -0.02
Bi 0.000 0.500 0.000  -0.05
H 0.500 0.500 0.500  0.28
Si 0.000 0.000 0.500  0.01
Si 0.500 0.000 0.000  0.03

**Electronic total energy**: -14.6 eV/cell
**Density**: 3.96 Mg/m³